Record 1
LiLaZrPt: optimized geometry, PBE.

## Properties
**Excess energy over the best structure of this formula in the dataset**: 0.027 eV/atom

a = 4.974 Å, b = 4.974 Å, c = 4.974 Å
α = 60.00°, β = 60.00°, γ = 60.00°
Fractional coordinates of all 4 atoms:
Li1 0.000 0.000 0.000
La1 0.250 0.250 0.250
Zr1 0.750 0.750 0.750
Pt1 0.500 0.500 0.500

***

Record 2
NbCoAgSn: optimized geometry, PBE.

## Properties
**Excess energy over the best structure of this formula in the dataset**: 0.000 eV/atom

a = 4.549 Å, b = 4.549 Å, c = 4.549 Å
α = 60.00°, β = 60.00°, γ = 60.00°
Fractional coordinates of all 4 atoms:
Nb1 0.000 0.000 0.000
Co1 0.750 0.750 0.750
Ag1 0.250 0.250 0.250
Sn1 0.500 0.500 0.500

***

Record 3
HfInAuS3: optimized geometry, PBE.

## Properties
**Excess energy over the best structure of this formula in the dataset**: 0.079 eV/atom

a = 11.182 Å, b = 3.732 Å, c = 13.162 Å
α = 90.00°, β = 90.00°, γ = 90.00°
Fractional coordinates of all 24 atoms:
Hf1 0.051 0.250 0.141
Hf2 0.449 0.750 0.641
Hf3 0.551 0.250 0.359
Hf4 0.949 0.750 0.859
In1 0.126 0.250 0.530
In2 0.374 0.750 0.030
In3 0.626 0.250 0.970
In4 0.874 0.750 0.470
Au1 0.221 0.750 0.363
Au2 0.279 0.250 0.863
Au3 0.721 0.750 0.137
Au4 0.779 0.250 0.637
S1 0.037 0.750 0.274
S2 0.088 0.250 0.939
S3 0.237 0.750 0.648
S4 0.263 0.250 0.148
S5 0.412 0.750 0.439
S6 0.463 0.250 0.774
S7 0.537 0.750 0.226
S8 0.588 0.250 0.561
S9 0.737 0.750 0.852
S10 0.763 0.250 0.352
S11 0.912 0.750 0.061
S12 0.963 0.250 0.726

***

Record 4
Tm3BiSb2: optimized geometry, PBE.

## Properties
**Uncorrected energy**: -5.263 eV/atom

a = 4.360 Å, b = 4.360 Å, c = 10.688 Å
α = 90.00°, β = 90.00°, γ = 120.00°
Fractional coordinates of all 6 atoms:
Tm1 0.000 0.000 0.000
Tm2 0.333 0.667 0.328
Tm3 0.667 0.333 0.672
Bi1 0.000 0.000 0.500
Sb1 0.333 0.667 0.835
Sb2 0.667 0.333 0.165